Entry 1:
{
  "formula": "Rb2P2Cl",
  "functional": "GGA-PBE",
  "state": "optimized geometry",
  "cell": [[8.955, 0.000, 0.000], [0.000, 8.955, 0.000], [0.000, 0.000, 4.364]],
  "species": ["Rb", "Rb", "Rb", "Rb", "P", "P", "P", "P", "Cl", "Cl"],
  "frac_coords": [[0.210, 0.290, 0.000], [0.290, 0.790, 0.000], [0.710, 0.210, 0.000], [0.790, 0.710, 0.000], [0.078, 0.578, 0.500], [0.422, 0.078, 0.500], [0.578, 0.922, 0.500], [0.922, 0.422, 0.500], [0.000, 0.000, 0.500], [0.500, 0.500, 0.500]],
  "raw_formation_energy_ev_per_fu": -3.3,
  "sg": "P4/mbm, No. 127"
}

=====

Entry 2:
{
  "formula": "Rb2PCl6",
  "functional": "GGA-PBE",
  "state": "optimized geometry",
  "cell": [[6.054, -3.503, 0.000], [6.054, 3.503, 0.000], [-0.086, 0.000, 6.348]],
  "species": ["Rb", "Rb", "P", "Cl", "Cl", "Cl", "Cl", "Cl", "Cl"],
  "frac_coords": [[0.168, 0.168, 0.226], [0.832, 0.832, 0.774], [0.500, 0.500, 0.000], [0.189, 0.657, 0.206], [0.343, 0.343, 0.792], [0.343, 0.811, 0.794], [0.657, 0.189, 0.206], [0.657, 0.657, 0.208], [0.811, 0.343, 0.794]],
  "raw_formation_energy_ev_per_fu": -10.4,
  "sg": "C2/m, No. 12"
}

=====

Entry 3:
{
  "formula": "Rb8P2Cl",
  "functional": "GGA-PBE",
  "state": "optimized geometry",
  "cell": [[10.832, -2.684, 0.000], [10.832, 2.684, 0.000], [-0.869, 0.000, 9.375]],
  "species": ["Rb", "Rb", "Rb", "Rb", "Rb", "Rb", "Rb", "Rb", "P", "P", "Cl"],
  "frac_coords": [[0.039, 0.039, 0.312], [0.214, 0.214, 0.846], [0.320, 0.320, 0.518], [0.384, 0.384, 0.946], [0.616, 0.616, 0.054], [0.680, 0.680, 0.482], [0.786, 0.786, 0.154], [0.961, 0.961, 0.688], [0.190, 0.190, 0.231], [0.810, 0.810, 0.769], [0.500, 0.500, 0.500]],
  "raw_formation_energy_ev_per_fu": -4.6,
  "sg": "C2/m, No. 12"
}

=====

Entry 4:
{
  "formula": "Rb2P2Cl",
  "functional": "GGA-PBE",
  "state": "optimized geometry",
  "cell": [[-1.815, 1.815, 10.007], [1.815, -1.815, 10.007], [1.815, 1.815, -10.007]],
  "species": ["Rb", "Rb", "P", "P", "Cl"],
  "frac_coords": [[0.103, 0.103, 0.000], [0.897, 0.897, 0.000], [0.250, 0.750, 0.500], [0.750, 0.250, 0.500], [0.500, 0.500, 0.000]],
  "raw_formation_energy_ev_per_fu": -3.5,
  "sg": "I4/mmm, No. 139"
}

=====

Entry 5:
{
  "formula": "RbP2Cl",
  "functional": "GGA-PBE",
  "state": "optimized geometry",
  "cell": [[0.000, 3.693, 3.693], [3.693, 0.000, 3.693], [3.693, 3.693, 0.000]],
  "species": ["Rb", "P", "P", "Cl"],
  "frac_coords": [[0.000, 0.000, 0.000], [0.250, 0.250, 0.250], [0.750, 0.750, 0.750], [0.500, 0.500, 0.500]],
  "raw_formation_energy_ev_per_fu": 3.9,
  "sg": "Fm-3m, No. 225"
}

=====

Entry 6:
{
  "formula": "Rb3PCl6",
  "functional": "GGA-PBE",
  "state": "optimized geometry",
  "cell": [[0.000, 5.523, 5.523], [5.523, 0.000, 5.523], [5.523, 5.523, 0.000]],
  "species": ["Rb", "Rb", "Rb", "P", "Cl", "Cl", "Cl", "Cl", "Cl", "Cl"],
  "frac_coords": [[0.000, 0.000, 0.000], [0.250, 0.250, 0.250], [0.750, 0.750, 0.750], [0.500, 0.500, 0.500], [0.280, 0.280, 0.720], [0.280, 0.720, 0.280], [0.280, 0.720, 0.720], [0.720, 0.280, 0.280], [0.720, 0.280, 0.720], [0.720, 0.720, 0.280]],
  "raw_formation_energy_ev_per_fu": -13.4,
  "sg": "Fm-3m, No. 225"
}

=====

Entry 7:
{
  "formula": "RbP3Cl",
  "functional": "GGA-PBE",
  "state": "optimized geometry",
  "cell": [[6.918, 0.000, 0.000], [0.000, 6.918, 0.000], [0.000, 0.000, 6.918]],
  "species": ["Rb", "P", "P", "P", "Cl"],
  "frac_coords": [[0.000, 0.000, 0.000], [0.000, 0.000, 0.500], [0.000, 0.500, 0.000], [0.500, 0.000, 0.000], [0.500, 0.500, 0.500]],
  "raw_formation_energy_ev_per_fu": 8.9,
  "sg": "Pm-3m, No. 221"
}

=====

Entry 8:
{
  "formula": "Rb2PCl",
  "functional": "GGA-PBE",
  "state": "optimized geometry",
  "cell": [[-4.400, 4.400, 4.721], [4.400, -4.400, 4.721], [4.400, 4.400, -4.721]],
  "species": ["Rb", "Rb", "Rb", "Rb", "P", "P", "Cl", "Cl"],
  "frac_coords": [[0.100, 0.625, 0.975], [0.375, 0.350, 0.475], [0.650, 0.125, 0.025], [0.875, 0.900, 0.525], [0.250, 0.750, 0.500], [0.500, 0.500, 0.000], [0.000, 0.000, 0.000], [0.750, 0.250, 0.500]],
  "raw_formation_energy_ev_per_fu": -2.2,
  "sg": "I-42d, No. 122"
}

=====

Entry 9:
{
  "formula": "RbPCl6",
  "functional": "GGA-PBE",
  "state": "optimized geometry",
  "cell": [[5.244, -3.784, 0.000], [5.244, 3.784, 0.000], [-4.297, 0.000, 6.250]],
  "species": ["Rb", "P", "Cl", "Cl", "Cl", "Cl", "Cl", "Cl"],
  "frac_coords": [[0.000, 0.000, 0.000], [0.500, 0.500, 0.500], [0.167, 0.574, 0.258], [0.327, 0.327, 0.569], [0.426, 0.833, 0.742], [0.574, 0.167, 0.258], [0.673, 0.673, 0.431], [0.833, 0.426, 0.742]],
  "raw_formation_energy_ev_per_fu": -7.1,
  "sg": "C2/m, No. 12"
}

=====

Entry 10:
{
  "formula": "RbP2Cl",
  "functional": "GGA-PBE",
  "state": "optimized geometry",
  "cell": [[-2.189, 2.189, 15.607], [2.189, -2.189, 15.607], [2.189, 2.189, -15.607]],
  "species": ["Rb", "Rb", "P", "P", "P", "P", "Cl", "Cl"],
  "frac_coords": [[0.375, 0.625, 0.750], [0.625, 0.375, 0.250], [0.000, 0.000, 0.000], [0.000, 0.000, 0.500], [0.000, 0.500, 0.000], [0.500, 0.000, 0.500], [0.125, 0.875, 0.250], [0.875, 0.125, 0.750]],
  "raw_formation_energy_ev_per_fu": -1.1,
  "sg": "I4_1/amd, No. 141"
}

=====

Entry 11:
{
  "formula": "Rb4PCl",
  "functional": "GGA-PBE",
  "state": "optimized geometry",
  "cell": [[-3.327, 3.327, 7.827], [3.327, -3.327, 7.827], [3.327, 3.327, -7.827]],
  "species": ["Rb", "Rb", "Rb", "Rb", "P", "Cl"],
  "frac_coords": [[0.207, 0.207, 0.000], [0.533, 0.033, 0.500], [0.793, 0.793, 0.000], [0.967, 0.467, 0.500], [0.000, 0.000, 0.000], [0.750, 0.250, 0.500]],
  "raw_formation_energy_ev_per_fu": -4.0,
  "sg": "I-4m2, No. 119"
}

=====

Entry 12:
{
  "formula": "RbPCl3",
  "functional": "GGA-PBE",
  "state": "optimized geometry",
  "cell": [[5.066, 0.000, 0.000], [0.000, 5.066, 0.000], [0.000, 0.000, 5.066]],
  "species": ["Rb", "P", "Cl", "Cl", "Cl"],
  "frac_coords": [[0.000, 0.000, 0.000], [0.500, 0.500, 0.500], [0.000, 0.500, 0.500], [0.500, 0.000, 0.500], [0.500, 0.500, 0.000]],
  "raw_formation_energy_ev_per_fu": -4.3,
  "sg": "Pm-3m, No. 221"
}

=====

Entry 13:
{
  "formula": "Rb12P3Cl5",
  "functional": "GGA-PBE",
  "state": "optimized geometry",
  "cell": [[-9.791, 9.791, 9.791], [9.791, -9.791, 9.791], [9.791, 9.791, -9.791]],
  "species": ["Rb", "Rb", "Rb", "Rb", "Rb", "Rb", "Rb", "Rb", "Rb", "Rb", "Rb", "Rb", "Rb", "Rb", "Rb", "Rb", "Rb", "Rb", "Rb", "Rb", "Rb", "Rb", "Rb", "Rb", "Rb", "Rb", "Rb", "Rb", "Rb", "Rb", "Rb", "Rb", "Rb", "Rb", "Rb", "Rb", "Rb", "Rb", "Rb", "Rb", "Rb", "Rb", "Rb", "Rb", "Rb", "Rb", "Rb", "Rb", "P", "P", "P", "P", "P", "P", "P", "P", "P", "P", "P", "P", "Cl", "Cl", "Cl", "Cl", "Cl", "Cl", "Cl", "Cl", "Cl", "Cl", "Cl", "Cl", "Cl", "Cl", "Cl", "Cl", "Cl", "Cl", "Cl", "Cl"],
  "frac_coords": [[0.052, 0.224, 0.139], [0.052, 0.329, 0.913], [0.084, 0.724, 0.671], [0.084, 0.861, 0.413], [0.087, 0.639, 0.416], [0.087, 0.948, 0.671], [0.139, 0.052, 0.224], [0.139, 0.587, 0.916], [0.171, 0.224, 0.584], [0.171, 0.448, 0.587], [0.224, 0.139, 0.052], [0.224, 0.584, 0.171], [0.276, 0.329, 0.916], [0.276, 0.448, 0.361], [0.329, 0.913, 0.052], [0.329, 0.916, 0.276], [0.361, 0.276, 0.448], [0.361, 0.584, 0.913], [0.413, 0.084, 0.861], [0.413, 0.829, 0.552], [0.416, 0.087, 0.639], [0.416, 0.829, 0.776], [0.448, 0.361, 0.276], [0.448, 0.587, 0.171], [0.552, 0.413, 0.829], [0.552, 0.639, 0.724], [0.584, 0.171, 0.224], [0.584, 0.913, 0.361], [0.587, 0.171, 0.448], [0.587, 0.916, 0.139], [0.639, 0.416, 0.087], [0.639, 0.724, 0.552], [0.671, 0.084, 0.724], [0.671, 0.087, 0.948], [0.724, 0.552, 0.639], [0.724, 0.671, 0.084], [0.776, 0.416, 0.829], [0.776, 0.861, 0.948], [0.829, 0.552, 0.413], [0.829, 0.776, 0.416], [0.861, 0.413, 0.084], [0.861, 0.948, 0.776], [0.913, 0.052, 0.329], [0.913, 0.361, 0.584], [0.916, 0.139, 0.587], [0.916, 0.276, 0.329], [0.948, 0.671, 0.087], [0.948, 0.776, 0.861], [0.125, 0.250, 0.375], [0.125, 0.375, 0.750], [0.250, 0.375, 0.125], [0.250, 0.875, 0.625], [0.375, 0.125, 0.250], [0.375, 0.750, 0.125], [0.625, 0.250, 0.875], [0.625, 0.875, 0.750], [0.750, 0.125, 0.375], [0.750, 0.625, 0.875], [0.875, 0.625, 0.250], [0.875, 0.750, 0.625], [0.000, 0.000, 0.000], [0.000, 0.000, 0.500], [0.000, 0.500, 0.000], [0.000, 0.500, 0.500], [0.125, 0.750, 0.875], [0.125, 0.875, 0.250], [0.250, 0.125, 0.875], [0.250, 0.625, 0.375], [0.375, 0.250, 0.625], [0.375, 0.625, 0.750], [0.500, 0.000, 0.000], [0.500, 0.000, 0.500], [0.500, 0.500, 0.000], [0.500, 0.500, 0.500], [0.625, 0.375, 0.250], [0.625, 0.750, 0.375], [0.750, 0.375, 0.625], [0.750, 0.875, 0.125], [0.875, 0.125, 0.750], [0.875, 0.250, 0.125]],
  "raw_formation_energy_ev_per_fu": -19.0,
  "sg": "Ia-3d, No. 230"
}

=====

Entry 14:
{
  "formula": "Rb3PCl",
  "functional": "GGA-PBE",
  "state": "optimized geometry",
  "cell": [[6.128, 0.000, 0.000], [0.000, 6.128, 0.000], [0.000, 0.000, 6.128]],
  "species": ["Rb", "Rb", "Rb", "P", "Cl"],
  "frac_coords": [[0.000, 0.000, 0.500], [0.000, 0.500, 0.000], [0.500, 0.000, 0.000], [0.500, 0.500, 0.500], [0.000, 0.000, 0.000]],
  "raw_formation_energy_ev_per_fu": -2.9,
  "sg": "Pm-3m, No. 221"
}

=====

Entry 15:
{
  "formula": "RbPCl4",
  "functional": "GGA-PBE",
  "state": "optimized geometry",
  "cell": [[10.019, 0.000, 0.000], [0.000, 5.497, 0.000], [0.000, 0.000, 8.197]],
  "species": ["Rb", "Rb", "P", "P", "Cl", "Cl", "Cl", "Cl", "Cl", "Cl", "Cl", "Cl"],
  "frac_coords": [[0.000, 0.221, 0.000], [0.500, 0.779, 0.500], [0.000, 0.778, 0.542], [0.500, 0.222, 0.042], [0.000, 0.150, 0.499], [0.000, 0.720, 0.183], [0.162, 0.766, 0.711], [0.338, 0.234, 0.211], [0.500, 0.280, 0.683], [0.500, 0.850, 0.999], [0.662, 0.234, 0.211], [0.838, 0.766, 0.711]],
  "raw_formation_energy_ev_per_fu": -6.1,
  "sg": "Pmn2_1, No. 31"
}

=====

Entry 16:
{
  "formula": "Rb2PCl",
  "functional": "GGA-PBE",
  "state": "optimized geometry",
  "cell": [[0.000, 4.137, 4.137], [4.137, 0.000, 4.137], [4.137, 4.137, 0.000]],
  "species": ["Rb", "Rb", "P", "Cl"],
  "frac_coords": [[0.250, 0.250, 0.250], [0.750, 0.750, 0.750], [0.000, 0.000, 0.000], [0.500, 0.500, 0.500]],
  "raw_formation_energy_ev_per_fu": -2.2,
  "sg": "Fm-3m, No. 225"
}

=====

Entry 17:
{
  "formula": "Rb2RePCl6",
  "functional": "GGA-PBE",
  "state": "optimized geometry",
  "cell": [[-4.029, 4.029, 4.547], [4.029, -4.029, 4.547], [4.029, 4.029, -4.547]],
  "species": ["Rb", "Rb", "Re", "P", "Cl", "Cl", "Cl", "Cl", "Cl", "Cl"],
  "frac_coords": [[0.250, 0.750, 0.500], [0.750, 0.250, 0.500], [0.000, 0.000, 0.000], [0.500, 0.500, 0.000], [0.212, 0.212, 0.424], [0.212, 0.788, 0.000], [0.254, 0.254, 0.000], [0.746, 0.746, 0.000], [0.788, 0.212, 0.000], [0.788, 0.788, 0.576]],
  "raw_formation_energy_ev_per_fu": -7.4,
  "sg": "I4/mmm, No. 139"
}

=====

Entry 18:
{
  "formula": "RbPRhCl2",
  "functional": "GGA-PBE",
  "state": "optimized geometry",
  "cell": [[5.306, 0.000, 0.000], [0.000, 5.306, 0.000], [0.000, 0.000, 4.420]],
  "species": ["Rb", "P", "Rh", "Cl", "Cl"],
  "frac_coords": [[0.000, 0.000, 0.000], [0.500, 0.500, 0.000], [0.500, 0.500, 0.500], [0.000, 0.500, 0.500], [0.500, 0.000, 0.500]],
  "raw_formation_energy_ev_per_fu": -3.1,
  "sg": "P4/mmm, No. 123"
}

=====

Entry 19:
{
  "formula": "RbPRhCl2",
  "functional": "GGA-PBE",
  "state": "optimized geometry",
  "cell": [[6.099, 0.000, 0.000], [0.000, 6.099, 0.000], [0.000, 0.000, 6.264]],
  "species": ["Rb", "P", "Rh", "Cl", "Cl"],
  "frac_coords": [[0.000, 0.000, 0.000], [0.000, 0.000, 0.500], [0.500, 0.500, 0.500], [0.000, 0.500, 0.000], [0.500, 0.000, 0.000]],
  "raw_formation_energy_ev_per_fu": 5.4,
  "sg": "P4/mmm, No. 123"
}

=====

Entry 20:
{
  "formula": "RbPRuCl2",
  "functional": "GGA-PBE",
  "state": "optimized geometry",
  "cell": [[5.223, 0.000, 0.000], [0.000, 5.223, 0.000], [0.000, 0.000, 4.448]],
  "species": ["Rb", "P", "Ru", "Cl", "Cl"],
  "frac_coords": [[0.000, 0.000, 0.000], [0.500, 0.500, 0.000], [0.500, 0.500, 0.500], [0.000, 0.500, 0.500], [0.500, 0.000, 0.500]],
  "raw_formation_energy_ev_per_fu": -2.6,
  "sg": "P4/mmm, No. 123"
}

=====

| no. | magnetic moment (μB/f.u.) |
| --- | --- |
| 1 | 0.00 |
| 2 | 0.00 |
| 3 | 0.00 |
| 4 | 0.00 |
| 5 | 0.00 |
| 6 | 0.00 |
| 7 | 8.48 |
| 8 | 2.00 |
| 9 | 0.00 |
| 10 | 0.00 |
| 11 | 0.00 |
| 12 | 0.00 |
| 13 | 2.09 |
| 14 | 1.00 |
| 15 | 0.00 |
| 16 | 2.00 |
| 17 | 1.05 |
| 18 | 0.00 |
| 19 | 5.07 |
| 20 | 0.00 |